# MnTcI2O

MnTcI2O after structural relaxation (PBE with a Hubbard U, Alexandria via LeMat-Bulk).

POSCAR file:
```
MnTcI2O
1.0
5.6554 0.0000 0.0000
0.0000 5.6554 0.0000
0.0000 0.0000 3.7698
Mn Tc I O
1 1 2 1
direct
0.0000 0.0000 0.0000
0.5000 0.5000 0.5000
0.0000 0.5000 0.5000
0.5000 0.0000 0.5000
0.5000 0.5000 0.0000
```

Values from the calculation:
Total magnetization: 5.396 Bohr magnetons per cell
ρ: 5.8 Mg/m³
Final energy: -5.31 eV/atom